[1]
A plane-wave DFT calculation with PBE was carried out for an optimized crystal structure of Tb2Al4Ag5.

Output
Space-group type = Immm

Cell: 5.7079 6.8178 6.8168 Å, 79.54 65.25 65.25°
With the nearest neighbours (Å) after each atom.
Sites, in units of the cell vectors:
Tb: 0.2892 0.7109 0.7106  6 Al 2.99-3.19
Tb: 0.7108 0.2891 0.2894  6 Al 2.99-3.19
Al: 0.2461 0.0938 0.4141  5 Ag 2.57-2.87, 1 Al 2.79
Al: 0.7539 0.9062 0.5859  5 Ag 2.57-2.87, 1 Al 2.79
Al: 0.7540 0.5857 0.9063  5 Ag 2.57-2.87, 1 Al 2.79
Al: 0.2460 0.4143 0.0937  5 Ag 2.57-2.87, 1 Al 2.79
Ag: 0.2476 0.1964 0.8036  4 Al 2.67-2.87, 2 Ag 2.83-2.88
Ag: 0.7524 0.8036 0.1964  4 Al 2.67-2.87, 2 Ag 2.83-2.88
Ag: 0.0000 0.5000 0.5000  4 Al 2.57
Ag: 0.7523 0.1964 0.8036  4 Al 2.67-2.87, 2 Ag 2.83-2.88
Ag: 0.2477 0.8036 0.1964  4 Al 2.67-2.87, 2 Ag 2.83-2.88

***

[2]
A plane-wave DFT calculation with PBE was carried out for an optimized crystal structure of Tb3Al2Ag7.

Output
Space-group type = I4/mmm

Cell: 4.1747 4.1747 14.9597 Å, 98.02 98.02 90.00°
With the nearest neighbours (Å) after each atom.
Sites, in units of the cell vectors:
Tb: 0.3270 0.3270 0.6539  5 Ag 3.00-3.32, 4 Al 3.16
Tb: 0.6730 0.6730 0.3461  5 Ag 3.00-3.32, 4 Al 3.16
Tb: 0.5000 0.5000 0.0000  12 Ag 2.95-3.12
Al: 0.1346 0.1346 0.2692  5 Ag 2.64
Al: 0.8654 0.8654 0.7308  5 Ag 2.64
Ag: 0.0000 0.0000 0.0000  4 Tb 2.95, 8 Ag 3.12
Ag: 0.9208 0.4208 0.8416  2 Al 2.64, 4 Ag 2.95
Ag: 0.4208 0.9208 0.8416  2 Al 2.64, 4 Ag 2.95
Ag: 0.0792 0.5792 0.1584  2 Al 2.64, 4 Ag 2.95
Ag: 0.5792 0.0792 0.1584  2 Al 2.64, 4 Ag 2.95
Ag: 0.2245 0.2245 0.4490  1 Al 2.64
Ag: 0.7755 0.7755 0.5510  1 Al 2.64

***

[3]
A plane-wave DFT calculation with PBE was carried out for an optimized crystal structure of Tb8Al2Ag.

Output
Space-group type = C2/m

Cell: 5.0984 6.7506 9.5732 Å, 102.24 105.44 90.00°
With the nearest neighbours (Å) after each atom.
Sites, in units of the cell vectors:
Tb: 0.4053 0.5343 0.8105  1 Ag 3.24, 6 Tb 3.33-3.63, 2 Al 3.41
Tb: 0.6574 0.9670 0.3148  1 Ag 2.96, 3 Al 3.06-3.08
Tb: 0.7947 0.6999 0.5894  3 Al 3.08-3.26, 3 Tb 3.39-3.42
Tb: 0.9773 0.2332 0.9546  2 Ag 3.07, 1 Al 3.11, 1 Tb 3.43
Tb: 0.2053 0.3001 0.4106  3 Al 3.08-3.26, 3 Tb 3.39-3.42
Tb: 0.3426 0.0330 0.6852  1 Ag 2.96, 3 Al 3.06-3.08
Tb: 0.5947 0.4657 0.1895  1 Ag 3.24, 6 Tb 3.33-3.63, 2 Al 3.41
Tb: 0.0227 0.7668 0.0454  2 Ag 3.07, 1 Al 3.11, 1 Tb 3.43
Al: 0.8107 0.2549 0.6214  9 Tb 3.06-3.41
Al: 0.1893 0.7451 0.3786  9 Tb 3.06-3.41
Ag: 0.5000 0.0000 0.0000  8 Tb 2.96-3.24

***

[4]
A plane-wave DFT calculation with PBE was carried out for an optimized crystal structure of TbAlAg.

Output
Space-group type = I4mm

Cell: 3.3299 3.3299 6.1961 Å, 105.59 105.59 90.00°
With the nearest neighbours (Å) after each atom.
Sites, in units of the cell vectors:
Tb: 0.9518 0.9518 0.9036  4 Al 3.16, 4 Ag 3.20, 4 Tb 3.33
Al: 0.6360 0.6360 0.2720  4 Ag 2.76
Ag: 0.2622 0.2622 0.5244  4 Al 2.76

***

[5]
A plane-wave DFT calculation with PBE was carried out for an optimized crystal structure of Tb4AlAg3.

Output
Excess energy over the best structure of this formula in the dataset = 1.04 kcal/mol of atoms
Space-group type = Pmm2

Cell: 3.6677 4.7492 11.4554 Å, 90.00 90.00 90.00°
With the nearest neighbours (Å) after each atom.
Sites, in units of the cell vectors:
Tb: 0.5000 0.5000 0.3517  6 Ag 3.11-3.17, 1 Al 3.17
Tb: 0.0000 0.5000 0.8490  5 Ag 3.11-3.13, 2 Al 3.17
Tb: 0.0000 0.0000 0.1519  3 Ag 3.12-3.17, 4 Al 3.13
Tb: 0.5000 0.0000 0.6448  7 Ag 3.10-3.23
Al: 0.5000 0.5000 0.0751  2 Ag 2.92, 7 Tb 3.13-3.17
Ag: 0.0000 0.5000 0.5772  2 Ag 2.95, 7 Tb 3.10-3.17
Ag: 0.0000 0.0000 0.4239  2 Ag 2.95, 7 Tb 3.11-3.13
Ag: 0.5000 0.0000 0.9265  2 Al 2.92, 7 Tb 3.13-3.23

***

[6]
A plane-wave DFT calculation with PBE was carried out for an optimized crystal structure of Tb4AlAg.

Output
Excess energy over the best structure of this formula in the dataset = 0.71 kcal/mol of atoms
Space-group type = Cmc2_1

Cell: 5.1999 6.3961 11.2070 Å, 90.00 103.41 90.00°
With the nearest neighbours (Å) after each atom.
Sites, in units of the cell vectors:
Tb: 0.8757 0.2893 0.7513  2 Ag 2.88, 1 Al 3.16
Tb: 0.1243 0.7893 0.2487  2 Ag 2.88, 1 Al 3.16
Tb: 0.4365 0.8635 0.8730  3 Ag 2.92-3.25
Tb: 0.5635 0.3635 0.1270  3 Ag 2.92-3.25
Tb: 0.7148 0.5483 0.4296  4 Tb 3.13-3.34, 3 Al 3.21-3.24
Tb: 0.2852 0.0483 0.5704  4 Tb 3.13-3.34, 3 Al 3.21-3.24
Tb: 0.6930 0.0651 0.3859  1 Ag 2.98, 2 Al 3.12, 4 Tb 3.13-3.34
Tb: 0.3070 0.5651 0.6141  1 Ag 2.98, 2 Al 3.12, 4 Tb 3.13-3.34
Al: 0.8402 0.8110 0.6805  9 Tb 3.12-3.43
Al: 0.1598 0.3110 0.3195  9 Tb 3.12-3.43
Ag: 0.5705 0.8564 0.1411  5 Tb 2.88-3.16
Ag: 0.4295 0.3564 0.8589  5 Tb 2.88-3.16

***

[7]
A plane-wave DFT calculation with PBE was carried out for an optimized crystal structure of Tb6AlAg3.

Output
Space-group type = P2_1/m

Cell: 5.0680 9.1823 11.5409 Å, 103.92 90.00 90.00°
With the nearest neighbours (Å) after each atom.
Sites, in units of the cell vectors:
Tb: 0.2500 0.5022 0.1121  4 Ag 3.12-3.33
Tb: 0.7500 0.4978 0.8879  4 Ag 3.12-3.33
Tb: 0.2500 0.1165 0.1664  3 Ag 3.25-3.41, 7 Tb 3.26-3.58
Tb: 0.7500 0.8835 0.8336  3 Ag 3.25-3.41, 7 Tb 3.26-3.58
Tb: 0.2500 0.6506 0.6958  4 Ag 2.91-3.08, 1 Al 3.07
Tb: 0.7500 0.3494 0.3042  4 Ag 2.91-3.08, 1 Al 3.07
Tb: 0.2500 0.2430 0.4849  2 Ag 2.96-3.14, 2 Al 3.19
Tb: 0.7500 0.7570 0.5151  2 Ag 2.96-3.14, 2 Al 3.19
Tb: 0.2500 0.8532 0.3408  3 Al 3.07-3.19, 3 Ag 3.10-3.19
Tb: 0.7500 0.1468 0.6592  3 Al 3.07-3.19, 3 Ag 3.10-3.19
Tb: 0.2500 0.1392 0.8886  3 Ag 2.86-3.03, 1 Al 3.11
Tb: 0.7500 0.8608 0.1114  3 Ag 2.86-3.03, 1 Al 3.11
Al: 0.2500 0.9528 0.6254  7 Tb 3.07-3.19
Al: 0.7500 0.0472 0.3746  7 Tb 3.07-3.19
Ag: 0.2500 0.5352 0.3881  7 Tb 3.08-3.36, 2 Ag 3.26
Ag: 0.7500 0.4648 0.6119  7 Tb 3.08-3.36, 2 Ag 3.26
Ag: 0.2500 0.3557 0.7474  7 Tb 2.86-3.19
Ag: 0.7500 0.6443 0.2526  7 Tb 2.86-3.19
Ag: 0.2500 0.7754 0.9678  6 Tb 3.03-3.33
Ag: 0.7500 0.2246 0.0322  6 Tb 3.03-3.33

***

[8]
A plane-wave DFT calculation with PBE was carried out for an optimized crystal structure of Tb2Al3Ag4.

Output
Space-group type = Cmce

Cell: 5.7372 7.9486 8.4408 Å, 90.00 109.87 90.00°
With the nearest neighbours (Å) after each atom.
Sites, in units of the cell vectors:
Tb: 0.1033 0.6003 0.2067  4 Al 3.16-3.40, 7 Ag 3.18-3.28
Tb: 0.8967 0.3997 0.7933  4 Al 3.16-3.40, 7 Ag 3.18-3.28
Tb: 0.3967 0.1003 0.7933  4 Al 3.16-3.40, 7 Ag 3.18-3.28
Tb: 0.6033 0.8997 0.2067  4 Al 3.16-3.40, 7 Ag 3.18-3.28
Al: 0.0000 0.0000 0.0000  6 Ag 2.66-2.84
Al: 0.5000 0.5000 0.0000  6 Ag 2.66-2.84
Al: 0.5139 0.7500 0.5277  5 Ag 2.70-2.72, 2 Al 2.87
Al: 0.9861 0.2500 0.4723  5 Ag 2.70-2.72, 2 Al 2.87
Al: 0.4861 0.2500 0.4723  5 Ag 2.70-2.72, 2 Al 2.87
Al: 0.0139 0.7500 0.5277  5 Ag 2.70-2.72, 2 Al 2.87
Ag: 0.6842 0.7500 0.8684  3 Al 2.66-2.70, 2 Ag 2.87
Ag: 0.8158 0.2500 0.1316  3 Al 2.66-2.70, 2 Ag 2.87
Ag: 0.3158 0.2500 0.1316  3 Al 2.66-2.70, 2 Ag 2.87
Ag: 0.1842 0.7500 0.8684  3 Al 2.66-2.70, 2 Ag 2.87
Ag: 0.1786 0.9849 0.3573  5 Al 2.71-2.84
Ag: 0.8214 0.0151 0.6427  5 Al 2.71-2.84
Ag: 0.3214 0.4849 0.6427  5 Al 2.71-2.84
Ag: 0.6786 0.5151 0.3573  5 Al 2.71-2.84

***

[9]
A plane-wave DFT calculation with PBE was carried out for an optimized crystal structure of Tb2AlAg2.

Output
Excess energy over the best structure of this formula in the dataset = 0.34 kcal/mol of atoms
Space-group type = P4/mbm

Cell: 7.4996 7.4996 8.3216 Å, 90.00 90.00 90.00°
With the nearest neighbours (Å) after each atom.
Sites, in units of the cell vectors:
Tb: 0.6741 0.8257 0.5000  6 Ag 2.92-3.12
Tb: 0.3259 0.1743 0.5000  6 Ag 2.92-3.12
Tb: 0.8259 0.3257 0.0000  6 Ag 2.92-3.12
Tb: 0.1741 0.6743 0.0000  6 Ag 2.92-3.12
Tb: 0.8257 0.3259 0.5000  6 Ag 2.92-3.12
Tb: 0.1743 0.6741 0.5000  6 Ag 2.92-3.12
Tb: 0.3257 0.1741 0.0000  6 Ag 2.92-3.12
Tb: 0.6743 0.8259 0.0000  6 Ag 2.92-3.12
Al: 0.5000 0.5000 0.2497  4 Ag 2.93
Al: 0.0000 0.0000 0.7497  4 Ag 2.93
Al: 0.5000 0.5000 0.7503  4 Ag 2.93
Al: 0.0000 0.0000 0.2503  4 Ag 2.93
Ag: 0.3680 0.8680 0.2500  1 Ag 2.80, 6 Tb 2.92-3.12, 2 Al 2.93
Ag: 0.6320 0.1320 0.2500  1 Ag 2.80, 6 Tb 2.92-3.12, 2 Al 2.93
Ag: 0.1320 0.3680 0.7500  1 Ag 2.80, 6 Tb 2.92-3.12, 2 Al 2.93
Ag: 0.8680 0.6320 0.7500  1 Ag 2.80, 6 Tb 2.92-3.12, 2 Al 2.93
Ag: 0.8680 0.6320 0.2500  1 Ag 2.80, 6 Tb 2.92-3.12, 2 Al 2.93
Ag: 0.1320 0.3680 0.2500  1 Ag 2.80, 6 Tb 2.92-3.12, 2 Al 2.93
Ag: 0.3680 0.8680 0.7500  1 Ag 2.80, 6 Tb 2.92-3.12, 2 Al 2.93
Ag: 0.6320 0.1320 0.7500  1 Ag 2.80, 6 Tb 2.92-3.12, 2 Al 2.93

***

[10]
A plane-wave DFT calculation with PBE was carried out for an optimized crystal structure of TbAl2Ag.

Output
Space-group type = P4/mmm

Cell: 3.2587 3.2587 7.4887 Å, 90.00 90.00 90.00°
With the nearest neighbours (Å) after each atom.
Sites, in units of the cell vectors:
Tb: 0.5000 0.5000 0.5000  8 Al 3.16, 4 Tb 3.26
Al: 0.0000 0.0000 0.7888  4 Ag 2.79
Al: 0.0000 0.0000 0.2112  4 Ag 2.79
Ag: 0.5000 0.5000 0.0000  8 Al 2.79

***

[11]
A plane-wave DFT calculation with PBE was carried out for an optimized crystal structure of Tb4AlAg2.

Output
Excess energy over the best structure of this formula in the dataset = 0.00 kcal/mol of atoms
Space-group type = R-3m

Cell: 5.1164 5.1164 8.7110 Å, 72.92 72.92 60.00°
With the nearest neighbours (Å) after each atom.
Sites, in units of the cell vectors:
Tb: 0.8721 0.8721 0.3837  4 Ag 3.14-3.20, 1 Al 3.14, 3 Tb 3.52
Tb: 0.1279 0.1279 0.6163  4 Ag 3.14-3.20, 1 Al 3.14, 3 Tb 3.52
Tb: 0.6188 0.6188 0.1437  4 Ag 3.04-3.09, 3 Al 3.18
Tb: 0.3812 0.3812 0.8563  4 Ag 3.04-3.09, 3 Al 3.18
Al: 0.0000 0.0000 0.0000  8 Tb 3.14-3.18, 6 Ag 3.52
Ag: 0.7443 0.7443 0.7672  8 Tb 3.04-3.20
Ag: 0.2557 0.2557 0.2328  8 Tb 3.04-3.20

***

[12]
A plane-wave DFT calculation with PBE was carried out for an optimized crystal structure of Tb4Al3Ag.

Output
Excess energy over the best structure of this formula in the dataset = 0.00 kcal/mol of atoms
Space-group type = P4/mmm

Cell: 3.5901 3.5901 14.8138 Å, 90.00 90.00 90.00°
With the nearest neighbours (Å) after each atom.
Sites, in units of the cell vectors:
Tb: 0.0000 0.0000 0.8709  4 Al 3.12, 4 Ag 3.18
Tb: 0.0000 0.0000 0.1291  4 Al 3.12, 4 Ag 3.18
Tb: 0.0000 0.0000 0.3770  8 Al 3.12-3.14
Tb: 0.0000 0.0000 0.6230  8 Al 3.12-3.14
Al: 0.5000 0.5000 0.2519  8 Tb 3.12-3.14
Al: 0.5000 0.5000 0.5000  8 Tb 3.12
Al: 0.5000 0.5000 0.7481  8 Tb 3.12-3.14
Ag: 0.5000 0.5000 0.0000  8 Tb 3.18

***

The records above give, respectively, volume values of 219, 256, 310, 64, 200, 181, 261, 181, 117, 80, 186, 191 Å³/f.u..
The records above give, respectively, total magnetic moment values of 0.00, 0.00, 0.00, 0.01, 0.00, 0.00, 0.00, 0.00, 0.00, 0.00, 0.00, 0.00 μB/f.u..
The records above give, respectively, energy of formation values of -0.191, -0.178, -0.157, -0.244, -0.289, -0.014, -0.214, -0.297, -0.291, -0.221, -0.181, -0.374 eV per atom.